{"formula": "NiPH6NO5", "functional": "SCAN", "state": "PBEsol geometry", "dft_energy_ev_per_atom": -7.601, "lattice": [[5.493, 0.000, 0.000], [0.000, 8.835, 0.000], [0.000, 0.000, 4.660]], "species": ["Ni", "Ni", "P", "P", "H", "H", "H", "H", "H", "H", "H", "H", "H", "H", "H", "H", "N", "N", "O", "O", "O", "O", "O", "O", "O", "O", "O", "O"], "fractional_positions": [[0.000, 0.019, 0.000], [0.500, 0.981, 0.500], [0.000, 0.811, 0.423], [0.500, 0.189, 0.923], [0.000, 0.542, 0.673], [0.000, 0.547, 0.044], [0.144, 0.179, 0.418], [0.156, 0.409, 0.867], [0.344, 0.591, 0.367], [0.356, 0.821, 0.918], [0.500, 0.453, 0.544], [0.500, 0.458, 0.173], [0.644, 0.821, 0.918], [0.656, 0.591, 0.367], [0.844, 0.409, 0.867], [0.856, 0.179, 0.418], [0.000, 0.475, 0.863], [0.500, 0.525, 0.363], [0.000, 0.195, 0.291], [0.000, 0.638, 0.363], [0.000, 0.835, 0.747], [0.225, 0.887, 0.271], [0.275, 0.113, 0.771], [0.500, 0.165, 0.247], [0.500, 0.362, 0.863], [0.500, 0.805, 0.791], [0.725, 0.113, 0.771], [0.775, 0.887, 0.271]]}